The following is a DFT calculation (PBE) of a geometry-optimized La2MgCdN structure.

The structure in POSCAR format:
```
La2MgCdN
1.0
-4.846 -1.829 0.283
1.633 -4.598 -1.759
0.744 -1.328 4.162
N Mg Cd La
1 1 1 2
Direct
0.000 0.000 0.000
0.000 0.000 0.500
0.500 0.500 0.500
0.000 0.500 0.000
0.500 0.000 0.000
```

- Formation energy from raw total energies: -621 meV per atom
- DOS at the Fermi energy: 3.6 states/eV/cell
- Volume: 119.24 Å³ per cell
- Raw total energy: -4.759 eV/atom

---

The following is a DFT calculation (PBE) of a geometry-optimized La12MgCd4N3 structure.

The structure in POSCAR format:
```
La12MgCd4N3
1.0
9.199 0.000 0.000
-3.066 8.672 0.000
-3.066 -4.336 7.511
La Mg Cd N
12 1 4 3
Direct
0.250 0.500 0.750
0.718 0.000 0.718
0.282 0.000 0.282
0.750 0.500 0.250
0.718 0.718 0.000
0.282 0.282 0.000
0.750 0.250 0.500
0.250 0.750 0.500
0.500 0.250 0.750
0.000 0.718 0.718
0.500 0.750 0.250
0.000 0.282 0.282
0.000 0.000 0.000
0.500 0.500 0.500
0.000 0.000 0.500
0.500 0.000 0.000
0.000 0.500 0.000
0.500 0.000 0.500
0.500 0.500 0.000
0.000 0.500 0.500
```

- Formation energy from raw total energies: -425 meV per atom
- DOS at the Fermi energy: 21.5 states/eV/cell
- Volume: 599.16 Å³ per cell
- Raw total energy: -4.893 eV/atom

---

The following is a DFT calculation (PBE) of a geometry-optimized NaLaMgCd structure.

The structure in POSCAR format:
```
NaLaMgCd
1.0
-4.556 -0.116 2.784
-3.362 -4.113 -0.550
-0.606 -3.505 3.984
Na Mg Cd La
1 1 1 1
Direct
0.750 0.750 0.750
0.000 0.000 0.000
0.250 0.250 0.250
0.500 0.500 0.500
```

- DFT formation energy: -0.1190 eV/atom
- DOS at the Fermi energy: 1.6 states/eV/cell
- Volume: 107.72 Å³ per cell
- Raw total energy: -2.308 eV/atom

---

The following is a DFT calculation (PBE) of a geometry-optimized La5NdMgCd2 structure.

The structure in POSCAR format:
```
La5NdMgCd2
1.0
-7.301 -2.184 -1.746
2.467 -7.330 -1.146
0.713 2.660 11.192
La Nd Mg Cd
10 2 2 4
Direct
0.928 0.428 0.263
0.665 0.165 0.737
0.072 0.572 0.737
0.165 0.072 0.737
0.572 0.665 0.737
0.835 0.928 0.263
0.428 0.335 0.263
0.335 0.835 0.263
0.500 0.500 0.000
0.000 0.000 0.000
0.250 0.250 0.500
0.750 0.750 0.500
0.250 0.750 0.500
0.750 0.250 0.500
0.121 0.379 0.000
0.621 0.121 0.000
0.379 0.879 0.000
0.879 0.621 0.000
```

- DFT formation energy: -0.0214 eV/atom
- DOS at the Fermi energy: 25.9 states/eV/cell
- Volume: 618.17 Å³ per cell
- Raw total energy: -3.669 eV/atom

---

The following is a DFT calculation (PBE) of a geometry-optimized La2NdMg2Cd2 structure.

The structure in POSCAR format:
```
La2NdMg2Cd2
1.0
5.113 0.000 0.000
-2.557 4.413 -0.397
0.000 -2.147 9.056
La Nd Mg Cd
2 1 2 2
Direct
0.129 0.257 0.388
0.871 0.743 0.612
0.000 0.000 0.000
0.606 0.212 0.817
0.394 0.788 0.183
0.734 0.468 0.203
0.266 0.532 0.797
```

- DFT formation energy: -0.1733 eV/atom
- DOS at the Fermi energy: 6.3 states/eV/cell
- Volume: 199.99 Å³ per cell
- Raw total energy: -2.979 eV/atom

---

The following is a DFT calculation (PBE) of a geometry-optimized LaMg2CdNi structure.

The structure in POSCAR format:
```
LaMg2CdNi
1.0
4.860 0.000 0.000
0.000 4.860 0.000
0.000 0.000 5.028
Ni Mg Cd La
1 2 1 1
Direct
0.000 0.000 0.000
0.000 0.500 0.000
0.500 0.000 0.000
0.000 0.000 0.500
0.500 0.500 0.500
```

- Energy above the lowest structure with this stoichiometry: 0.053 eV/atom
- DFT formation energy: -0.1190 eV/atom
- DOS at the Fermi energy: 5.3 states/eV/cell
- Volume: 118.77 Å³ per cell
- Raw total energy: -3.082 eV/atom

---

The following is a DFT calculation (PBE) of a geometry-optimized LaMg2CdNi structure.

The structure in POSCAR format:
```
LaMg2CdNi
1.0
-0.053 4.940 -0.956
-4.387 -0.514 -2.410
-2.490 0.816 4.358
Ni Mg Cd La
1 2 1 1
Direct
0.000 0.000 0.000
0.000 0.500 0.000
0.500 0.000 0.000
0.500 0.500 0.500
0.000 0.000 0.500
```

- Energy above the lowest structure with this stoichiometry: 0.000 eV/atom
- DFT formation energy: -0.1716 eV/atom
- DOS at the Fermi energy: 3.2 states/eV/cell
- Volume: 128.73 Å³ per cell
- Raw total energy: -3.134 eV/atom

---

The following is a DFT calculation (PBE) of a geometry-optimized La2MgCdNi structure.

The structure in POSCAR format:
```
La2MgCdNi
1.0
5.367 0.000 0.000
0.000 5.367 0.000
0.000 0.000 4.981
Ni Mg Cd La
1 1 1 2
Direct
0.000 0.000 0.000
0.000 0.000 0.500
0.500 0.500 0.500
0.000 0.500 0.000
0.500 0.000 0.000
```

- Energy above the lowest structure with this stoichiometry: 0.000 eV/atom
- DFT formation energy: -0.2082 eV/atom
- DOS at the Fermi energy: 5.8 states/eV/cell
- Volume: 143.47 Å³ per cell
- Raw total energy: -3.837 eV/atom

---

The following is a DFT calculation (PBE) of a geometry-optimized LaMgCdNi structure.

The structure in POSCAR format:
```
LaMgCdNi
1.0
-0.807 3.189 -3.805
-1.355 -1.761 -4.512
-4.674 0.760 -1.696
Ni Mg Cd La
1 1 1 1
Direct
0.250 0.250 0.250
0.000 0.000 0.000
0.750 0.750 0.750
0.500 0.500 0.500
```

- DFT formation energy: -0.1558 eV/atom
- DOS at the Fermi energy: 2.7 states/eV/cell
- Volume: 89.98 Å³ per cell
- Raw total energy: -3.460 eV/atom

---

The following is a DFT calculation (PBE) of a geometry-optimized La2MgCdNi structure.

The structure in POSCAR format:
```
La2MgCdNi
1.0
-0.163 -1.456 -5.151
1.219 -5.028 1.383
-4.945 -1.073 0.460
Ni Mg Cd La
1 1 1 2
Direct
0.000 0.000 0.000
0.500 0.500 0.500
0.000 0.000 0.500
0.000 0.500 0.000
0.500 0.000 0.000
```

- Energy above the lowest structure with this stoichiometry: 0.058 eV/atom
- DFT formation energy: -0.1501 eV/atom
- DOS at the Fermi energy: 5.5 states/eV/cell
- Volume: 145.72 Å³ per cell
- Raw total energy: -3.779 eV/atom

---

The following is a DFT calculation (PBE) of a geometry-optimized LaMgCdPb structure.

The structure in POSCAR format:
```
LaMgCdPb
1.0
4.608 0.000 0.000
0.000 4.792 0.000
0.000 0.000 5.030
La Mg Cd Pb
1 1 1 1
Direct
0.500 0.000 0.500
0.500 0.500 0.000
0.000 0.000 0.000
0.000 0.500 0.500
```

- Energy above the lowest structure with this stoichiometry: 0.000 eV/atom
- DFT formation energy: -0.3684 eV/atom
- DOS at the Fermi energy: 2.2 states/eV/cell
- Volume: 111.07 Å³ per cell
- Raw total energy: -3.155 eV/atom

---

The following is a DFT calculation (PBE) of a geometry-optimized LaMgCdPb structure.

The structure in POSCAR format:
```
LaMgCdPb
1.0
-4.408 2.397 1.979
-3.995 1.462 -3.317
-4.696 -2.651 0.102
Pb Mg Cd La
1 1 1 1
Direct
0.750 0.750 0.750
0.000 0.000 0.000
0.250 0.250 0.250
0.500 0.500 0.500
```

- Energy above the lowest structure with this stoichiometry: 0.057 eV/atom
- DFT formation energy: -0.3109 eV/atom
- DOS at the Fermi energy: 4.2 states/eV/cell
- Volume: 110.98 Å³ per cell
- Raw total energy: -3.097 eV/atom

---

The following is a DFT calculation (PBE) of a geometry-optimized La2PrMg2Cd2 structure.

The structure in POSCAR format:
```
La2PrMg2Cd2
1.0
-1.382 4.751 1.383
-2.692 -4.048 1.672
7.467 0.566 5.515
La Pr Mg Cd
2 1 2 2
Direct
0.128 0.255 0.386
0.872 0.745 0.614
0.000 0.000 0.000
0.606 0.212 0.816
0.394 0.788 0.184
0.734 0.469 0.205
0.266 0.531 0.795
```

- DFT formation energy: -0.1751 eV/atom
- DOS at the Fermi energy: 6.0 states/eV/cell
- Volume: 201.69 Å³ per cell
- Raw total energy: -2.983 eV/atom

---

The following is a DFT calculation (PBE) of a geometry-optimized La5PrMgCd2 structure.

The structure in POSCAR format:
```
La5PrMgCd2
1.0
-0.612 -5.155 5.837
-2.821 -5.310 -4.985
11.164 1.980 -2.307
La Pr Mg Cd
10 2 2 4
Direct
0.928 0.428 0.261
0.667 0.167 0.739
0.072 0.572 0.739
0.167 0.072 0.739
0.572 0.667 0.739
0.833 0.928 0.261
0.428 0.333 0.261
0.333 0.833 0.261
0.500 0.500 0.000
0.000 0.000 0.000
0.250 0.250 0.500
0.750 0.750 0.500
0.250 0.750 0.500
0.750 0.250 0.500
0.121 0.379 0.000
0.621 0.121 0.000
0.379 0.879 0.000
0.879 0.621 0.000
```

- DFT formation energy: -0.0242 eV/atom
- DOS at the Fermi energy: 25.9 states/eV/cell
- Volume: 620.30 Å³ per cell
- Raw total energy: -3.673 eV/atom

---

The following is a DFT calculation (PBE) of a geometry-optimized La2MgCdPt structure.

The structure in POSCAR format:
```
La2MgCdPt
1.0
-4.336 2.200 2.838
1.102 -3.419 4.335
3.095 3.526 1.994
Mg Cd Pt La
1 1 1 2
Direct
0.000 0.000 0.500
0.500 0.500 0.500
0.000 0.000 0.000
0.000 0.500 0.000
0.500 0.000 0.000
```

- DFT formation energy: -0.4739 eV/atom
- DOS at the Fermi energy: 6.4 states/eV/cell
- Volume: 161.56 Å³ per cell
- Raw total energy: -4.155 eV/atom

---

The following is a DFT calculation (PBE) of a geometry-optimized LaMg2CdPt structure.

The structure in POSCAR format:
```
LaMg2CdPt
1.0
5.141 0.000 0.000
0.000 5.141 0.000
0.000 0.000 5.451
Mg Cd Pt La
2 1 1 1
Direct
0.000 0.500 0.000
0.500 0.000 0.000
0.500 0.500 0.500
0.000 0.000 0.000
0.000 0.000 0.500
```

- DFT formation energy: -0.4555 eV/atom
- DOS at the Fermi energy: 2.9 states/eV/cell
- Volume: 144.06 Å³ per cell
- Raw total energy: -3.470 eV/atom

---

The following is a DFT calculation (PBE) of a geometry-optimized LaPuMgCd structure.

The structure in POSCAR format:
```
LaPuMgCd
1.0
5.481 0.000 0.000
2.740 4.746 0.000
2.740 1.582 4.475
Cd Mg La Pu
1 1 1 1
Direct
0.750 0.750 0.750
0.250 0.250 0.250
0.000 0.000 0.000
0.500 0.500 0.500
```

- DFT formation energy: -0.0017 eV/atom
- DOS at the Fermi energy: 11.8 states/eV/cell
- Volume: 116.41 Å³ per cell
- Raw total energy: -5.444 eV/atom

---

The following is a DFT calculation (PBE) of a geometry-optimized La2MgCdRu structure.

The structure in POSCAR format:
```
La2MgCdRu
1.0
-3.690 2.954 2.502
-0.805 -3.966 3.496
3.837 2.062 3.224
Ru Mg Cd La
1 1 1 2
Direct
0.000 0.000 0.000
0.500 0.500 0.500
0.000 0.000 0.500
0.000 0.500 0.000
0.500 0.000 0.000
```

- Energy above the lowest structure with this stoichiometry: 0.074 eV/atom
- DFT formation energy: -0.1411 eV/atom
- DOS at the Fermi energy: 3.9 states/eV/cell
- Volume: 155.00 Å³ per cell
- Raw total energy: -4.469 eV/atom

---

The following is a DFT calculation (PBE) of a geometry-optimized LaMg2CdRu structure.

The structure in POSCAR format:
```
LaMg2CdRu
1.0
-4.132 2.711 1.510
-1.764 0.016 -4.856
-2.551 -4.396 0.912
Ru Mg Cd La
1 2 1 1
Direct
0.000 0.000 0.000
0.000 0.500 0.000
0.500 0.000 0.000
0.500 0.500 0.500
0.000 0.000 0.500
```

- DFT formation energy: -0.0509 eV/atom
- DOS at the Fermi energy: 3.0 states/eV/cell
- Volume: 137.86 Å³ per cell
- Raw total energy: -3.712 eV/atom

---

The following is a DFT calculation (PBE) of a geometry-optimized La2MgCdRu structure.

The structure in POSCAR format:
```
La2MgCdRu
1.0
5.368 0.000 0.000
0.000 5.368 0.000
0.000 0.000 5.244
Ru Mg Cd La
1 1 1 2
Direct
0.000 0.000 0.000
0.000 0.000 0.500
0.500 0.500 0.500
0.000 0.500 0.000
0.500 0.000 0.000
```

- Energy above the lowest structure with this stoichiometry: 0.000 eV/atom
- DFT formation energy: -0.2154 eV/atom
- DOS at the Fermi energy: 3.6 states/eV/cell
- Volume: 151.09 Å³ per cell
- Raw total energy: -4.543 eV/atom

---

The following is a DFT calculation (PBE) of a geometry-optimized La5SmMgCd2 structure.

The structure in POSCAR format:
```
La5SmMgCd2
1.0
-6.489 2.762 -3.400
2.109 -3.357 -6.751
-2.735 -8.055 7.691
La Sm Mg Cd
10 2 2 4
Direct
0.927 0.427 0.265
0.662 0.162 0.735
0.073 0.573 0.735
0.162 0.073 0.735
0.573 0.662 0.735
0.838 0.927 0.265
0.427 0.338 0.265
0.338 0.838 0.265
0.500 0.500 0.000
0.000 0.000 0.000
0.250 0.250 0.500
0.750 0.750 0.500
0.250 0.750 0.500
0.750 0.250 0.500
0.121 0.379 0.000
0.621 0.121 0.000
0.379 0.879 0.000
0.879 0.621 0.000
```

- DFT formation energy: -0.0170 eV/atom
- DOS at the Fermi energy: 25.8 states/eV/cell
- Volume: 615.58 Å³ per cell
- Raw total energy: -3.659 eV/atom

---

The following is a DFT calculation (PBE) of a geometry-optimized LaMg2Cd2Sn2 structure.

The structure in POSCAR format:
```
LaMg2Cd2Sn2
1.0
4.979 0.000 0.000
2.490 4.312 0.000
2.490 1.437 8.264
La Mg Cd Sn
1 2 2 2
Direct
0.000 0.000 0.000
0.140 0.140 0.581
0.860 0.860 0.419
0.561 0.561 0.317
0.439 0.439 0.683
0.739 0.739 0.782
0.261 0.261 0.218
```

- DFT formation energy: -0.2974 eV/atom
- DOS at the Fermi energy: 2.8 states/eV/cell
- Volume: 177.44 Å³ per cell
- Raw total energy: -2.862 eV/atom

---

The following is a DFT calculation (PBE) of a geometry-optimized LaMgTlCd structure.

The structure in POSCAR format:
```
LaMgTlCd
1.0
5.340 0.000 0.000
2.670 4.624 0.000
2.670 1.541 4.360
Tl Cd Mg La
1 1 1 1
Direct
0.250 0.250 0.250
0.750 0.750 0.750
0.000 0.000 0.000
0.500 0.500 0.500
```

- DFT formation energy: -0.3335 eV/atom
- DOS at the Fermi energy: 1.5 states/eV/cell
- Volume: 107.67 Å³ per cell
- Raw total energy: -2.784 eV/atom

---

The following is a DFT calculation (PBE) of a geometry-optimized La2TmMg5Cd2 structure.

The structure in POSCAR format:
```
La2TmMg5Cd2
1.0
-3.123 3.007 1.805
-7.800 -4.703 -5.659
-1.816 -6.762 8.122
La Tm Mg Cd
4 2 10 4
Direct
0.000 0.681 0.181
0.000 0.319 0.819
0.000 0.181 0.319
0.000 0.819 0.681
0.000 0.000 0.000
0.000 0.500 0.500
0.500 0.210 0.058
0.500 0.790 0.942
0.500 0.058 0.790
0.500 0.710 0.442
0.500 0.942 0.210
0.500 0.290 0.558
0.500 0.558 0.710
0.500 0.442 0.290
0.500 0.500 0.000
0.500 0.000 0.500
0.000 0.114 0.614
0.000 0.886 0.386
0.000 0.614 0.886
0.000 0.386 0.114
```

- DFT formation energy: -0.1642 eV/atom
- DOS at the Fermi energy: 13.6 states/eV/cell
- Volume: 539.96 Å³ per cell
- Raw total energy: -2.577 eV/atom

---

The following is a DFT calculation (PBE) of a geometry-optimized LaTmMg2Cd2 structure.

The structure in POSCAR format:
```
LaTmMg2Cd2
1.0
5.125 0.000 0.000
-2.563 4.438 0.000
0.000 0.000 6.811
La Tm Mg Cd
1 1 2 2
Direct
0.000 0.000 0.000
0.000 0.000 0.500
0.333 0.667 0.737
0.667 0.333 0.263
0.333 0.667 0.261
0.667 0.333 0.739
```

- DFT formation energy: -0.2285 eV/atom
- DOS at the Fermi energy: 5.4 states/eV/cell
- Volume: 154.93 Å³ per cell
- Raw total energy: -2.632 eV/atom